Version A
An optimized crystal structure of PmSm5Y2. Source: Alexandria, functional PBE.

Unit cell a=6.776 b=9.111 c=9.471 alpha=82.01 beta=81.96 gamma=70.33
Element x y z (fractional)
1 Pm 0.050 0.415 0.253
2 Pm 0.950 0.585 0.747
3 Sm 0.080 0.758 0.037
4 Sm 0.110 0.007 0.300
5 Sm 0.295 0.216 0.563
6 Sm 0.380 0.716 0.717
7 Sm 0.396 0.996 0.864
8 Sm 0.604 0.004 0.136
9 Sm 0.620 0.284 0.283
10 Sm 0.705 0.784 0.437
11 Sm 0.890 0.993 0.700
12 Sm 0.920 0.242 0.963
13 Y 0.283 0.615 0.410
14 Y 0.395 0.366 0.926
15 Y 0.605 0.634 0.074
16 Y 0.717 0.385 0.590

=====

Version B
An optimized crystal structure of PmSm5Y2. Source: Alexandria, functional PBE.

Unit cell a=7.240 b=14.479 c=5.105 alpha=90.00 beta=90.00 gamma=90.00
Element x y z (fractional)
1 Pm 0.000 0.000 0.000
2 Pm 0.500 0.500 0.000
3 Sm 0.000 0.250 0.000
4 Sm 0.000 0.500 0.000
5 Sm 0.000 0.750 0.000
6 Sm 0.250 0.125 0.500
7 Sm 0.250 0.625 0.500
8 Sm 0.500 0.000 0.000
9 Sm 0.500 0.250 0.000
10 Sm 0.500 0.750 0.000
11 Sm 0.750 0.375 0.500
12 Sm 0.750 0.875 0.500
13 Y 0.250 0.375 0.500
14 Y 0.250 0.875 0.500
15 Y 0.750 0.125 0.500
16 Y 0.750 0.625 0.500

=====

Of them, the most stable is version B and the least stable is version A.

=====

Version A
An optimized crystal structure of Pm4Sm2Y. Source: Alexandria, functional PBE.

Unit cell a=6.338 b=6.338 c=15.640 alpha=90.00 beta=90.00 gamma=129.65
Element x y z (fractional)
1 Pm 0.101 0.899 0.806
2 Pm 0.205 0.795 0.570
3 Pm 0.295 0.705 0.070
4 Pm 0.399 0.601 0.306
5 Pm 0.601 0.399 0.694
6 Pm 0.705 0.295 0.930
7 Pm 0.795 0.205 0.430
8 Pm 0.899 0.101 0.194
9 Sm 0.106 0.894 0.343
10 Sm 0.394 0.606 0.843
11 Sm 0.606 0.394 0.157
12 Sm 0.894 0.106 0.657
13 Y 0.000 0.000 0.000
14 Y 0.500 0.500 0.500

=====

Version B
An optimized crystal structure of Pm4Sm2Y. Source: Alexandria, functional PBE.

Unit cell a=6.124 b=13.196 c=6.003 alpha=90.00 beta=90.00 gamma=90.00
Element x y z (fractional)
1 Pm 0.000 0.140 0.000
2 Pm 0.000 0.309 0.500
3 Pm 0.000 0.691 0.500
4 Pm 0.000 0.860 0.000
5 Pm 0.500 0.191 0.500
6 Pm 0.500 0.360 0.000
7 Pm 0.500 0.640 0.000
8 Pm 0.500 0.809 0.500
9 Sm 0.000 0.392 0.000
10 Sm 0.000 0.608 0.000
11 Sm 0.500 0.108 0.000
12 Sm 0.500 0.892 0.000
13 Y 0.000 0.000 0.500
14 Y 0.500 0.500 0.500

=====

Of them, the most stable is version A and the least stable is version B.

=====

Version A
An optimized crystal structure of PmSm2Y5. Source: Alexandria, functional PBE.

Unit cell a=7.195 b=14.395 c=5.073 alpha=90.00 beta=90.00 gamma=90.00
Element x y z (fractional)
1 Pm 0.000 0.000 0.000
2 Pm 0.500 0.500 0.000
3 Sm 0.249 0.375 0.500
4 Sm 0.251 0.875 0.500
5 Sm 0.749 0.125 0.500
6 Sm 0.751 0.625 0.500
7 Y 0.000 0.500 0.000
8 Y 0.001 0.750 0.000
9 Y 0.249 0.125 0.500
10 Y 0.251 0.625 0.500
11 Y 0.499 0.250 0.000
12 Y 0.500 0.000 0.000
13 Y 0.501 0.750 0.000
14 Y 0.749 0.375 0.500
15 Y 0.751 0.875 0.500
16 Y 0.999 0.250 0.000

=====

Version B
An optimized crystal structure of PmSm2Y5. Source: Alexandria, functional PBE.

Unit cell a=9.597 b=9.597 c=6.554 alpha=97.01 beta=97.01 gamma=62.53
Element x y z (fractional)
1 Pm 0.000 0.500 0.000
2 Pm 0.500 0.000 0.500
3 Sm 0.167 0.676 0.881
4 Sm 0.324 0.833 0.619
5 Sm 0.676 0.167 0.381
6 Sm 0.833 0.324 0.119
7 Y 0.008 0.189 0.644
8 Y 0.189 0.008 0.144
9 Y 0.214 0.391 0.477
10 Y 0.391 0.214 0.977
11 Y 0.442 0.558 0.250
12 Y 0.558 0.442 0.750
13 Y 0.609 0.786 0.023
14 Y 0.786 0.609 0.523
15 Y 0.811 0.992 0.856
16 Y 0.992 0.811 0.356

=====

Of them, the most stable is version A and the least stable is version B.

=====

Version A
An optimized crystal structure of PmSm6Y4. Source: Alexandria, functional PBE.

Unit cell a=9.906 b=9.906 c=9.906 alpha=141.20 beta=141.20 gamma=56.03
Element x y z (fractional)
1 Pm 0.000 0.000 0.000
2 Sm 0.000 0.500 0.500
3 Sm 0.190 0.190 0.644
4 Sm 0.454 0.810 0.000
5 Sm 0.500 0.000 0.500
6 Sm 0.546 0.546 0.356
7 Sm 0.810 0.454 0.000
8 Y 0.010 0.637 0.000
9 Y 0.363 0.363 0.373
10 Y 0.637 0.010 0.000
11 Y 0.990 0.990 0.627

=====

Version B
An optimized crystal structure of PmSm6Y4. Source: Alexandria, functional PBE.

Unit cell a=9.793 b=9.793 c=9.793 alpha=140.05 beta=140.05 gamma=57.78
Element x y z (fractional)
1 Pm 0.000 0.000 0.000
2 Sm 0.000 0.500 0.500
3 Sm 0.013 0.638 0.000
4 Sm 0.362 0.362 0.376
5 Sm 0.500 0.000 0.500
6 Sm 0.638 0.013 0.000
7 Sm 0.987 0.987 0.624
8 Y 0.193 0.193 0.642
9 Y 0.449 0.807 0.000
10 Y 0.551 0.551 0.358
11 Y 0.807 0.449 0.000

=====

Of them, the most stable is version A and the least stable is version B.